# 1
Entry from the Alexandria database: a relaxed structure of BaIn6Ag4 (PBE).

Cell lengths 8.191, 8.191, 4.682 Å; angles 90.00, 90.00, 120.00 degrees
Sites, in units of the cell vectors:
Ba1 0.000 0.000 0.000
In1 0.071 0.536 0.000
In2 0.401 0.200 0.500
In3 0.464 0.536 0.000
In4 0.464 0.929 0.000
In5 0.800 0.200 0.500
In6 0.800 0.599 0.500
Ag1 0.209 0.418 0.500
Ag2 0.209 0.791 0.500
Ag3 0.582 0.791 0.500
Ag4 0.667 0.333 0.000

Properties
The relative energy among the computed polymorphs is 0.000 eV per atom. As for the volume: 24.7 Å³ per atom. The size of the total moment comes out at 0.0 μB/f.u. The value obtained for the density of states at the Fermi level is 4.9 states/eV/f.u. Its space group is P-6m2 (187). For the formation energy, the calculation gives -0.18 eV per atom.

# 2
Entry from the Alexandria database: a relaxed structure of BaIn2Ag (PBE).

Cell lengths 3.915, 4.704, 6.990 Å; angles 90.00, 105.91, 90.00 degrees
Sites, in units of the cell vectors:
Ba1 0.000 0.000 0.000
In1 0.269 0.000 0.526
In2 0.679 0.500 0.352
Ag1 0.380 0.500 0.753

Properties
As for the volume: 30.9 Å³ per atom. The size of the total moment comes out at 0.0 μB/f.u. The value obtained for the density of states at the Fermi level is 2.6 states/eV/f.u. Its space group is Pm (6). For the formation energy, the calculation gives -0.18 eV per atom.

# 3
Entry from the Alexandria database: a relaxed structure of BaIn2Ag4 (PBE).

Cell lengths 7.631, 7.631, 7.631 Å; angles 108.79, 108.79, 110.85 degrees
Sites, in units of the cell vectors:
Ba1 0.250 0.250 0.000
Ba2 0.750 0.750 0.000
In1 0.155 0.655 0.811
In2 0.345 0.155 0.500
In3 0.655 0.845 0.500
In4 0.845 0.345 0.189
Ag1 0.021 0.806 0.500
Ag2 0.194 0.694 0.215
Ag3 0.306 0.521 0.500
Ag4 0.479 0.979 0.785
Ag5 0.521 0.021 0.215
Ag6 0.694 0.479 0.500
Ag7 0.806 0.306 0.785
Ag8 0.979 0.194 0.500

Properties
The relative energy among the computed polymorphs is 0.000 eV per atom. As for the volume: 24.4 Å³ per atom. The size of the total moment comes out at 0.0 μB/f.u. The value obtained for the density of states at the Fermi level is 4.2 states/eV/f.u. Its space group is I4/mcm (140). For the formation energy, the calculation gives -0.20 eV per atom.